1.
DFT (PBEsol) results for La2PPbC after structural relaxation.

a b c (Å): 4.525 5.152 5.152
angles (deg): 90.00 90.00 90.00
Fractional positions:
C: 0.000 0.000 0.000
Pb: 0.500 0.000 0.000
La: 0.000 0.000 0.500
La: 0.000 0.500 0.000
P: 0.500 0.500 0.500

For the total energy, the calculation gives -6.1677 eV per atom. As for the symmetry: P4/mmm, No. 123. The spin magnetization is 0.0 μB/f.u. For the energy relative to the elements, the calculation gives -0.71 eV per formula unit. The density comes out at 7.30 g/cm³.

---

2.
DFT (PBEsol) results for LaPC2S after structural relaxation.

a b c (Å): 4.243 4.243 5.930
angles (deg): 90.00 90.00 90.00
Site moments in Bohr magnetons follow the coordinates.
Fractional positions:
La: 0.000 0.000 0.000  0.18
P: 0.000 0.000 0.500  -0.01
C: 0.000 0.500 0.000  0.28
C: 0.500 0.000 0.000  0.28
S: 0.500 0.500 0.500  0.07

For the total energy, the calculation gives -4.4626 eV per atom. As for the symmetry: P4/mmm, No. 123. The spin magnetization is 1.3 μB/f.u. The density comes out at 3.51 g/cm³. For the energy relative to the elements, uncorrected, the calculation gives 2.4993 eV per atom.